The following is a PBE+U calculation of crystalline Li4Ti2V3Cr3O16 at its relaxed geometry, from Alexandria via LeMat-Bulk.

Computed properties:
E ... -7.530 eV per atom
Space-group type ... Cm, No. 8

Structure (POSCAR):
```
Li4Ti2V3Cr3O16
1.0
5.1144 -2.9516 0.0000
5.1144 2.9516 0.0000
-0.0723 0.0000 9.5496
Li Ti V Cr O
4 2 3 3 16
Cartesian
0.0000 0.0000 0.0000
10.1904 0.0000 4.7654
3.3092 0.0000 0.9338
6.7051 0.0000 5.7555
3.3503 0.0000 4.7597
6.7465 0.0000 9.5222
1.6778 0.0000 7.3832
5.9268 1.3795 2.6518
5.9268 -1.3795 2.6518
4.1502 1.4422 7.4551
4.1502 -1.4422 7.4551
8.4505 0.0000 2.6806
-0.0131 0.0000 1.7957
-0.0287 0.0000 6.5689
2.5457 1.2956 6.2278
1.6786 0.0000 3.8118
4.2143 1.4605 3.8148
3.2084 0.0000 8.4834
5.8854 1.4616 8.5767
2.5457 -1.2956 6.2278
4.7995 0.0000 6.2454
5.2139 0.0000 1.4173
7.4983 1.2924 1.4589
4.2143 -1.4605 3.8148
6.7534 0.0000 3.7580
5.8854 -1.4616 8.5767
8.4270 0.0000 8.5957
7.4983 -1.2924 1.4589
```